The following is a GGA-PBEsol calculation of a geometry-optimized ZrCl structure, from Alexandria.

a = 6.034 Å, b = 6.034 Å, c = 6.034 Å
α = 150.09°, β = 136.78°, γ = 53.45°
Fractional coordinates of all 4 atoms:
Zr1 0.362 0.112 0.250
Zr2 0.638 0.888 0.750
Cl1 0.153 0.403 0.750
Cl2 0.847 0.597 0.250

* energy relative to the elements, uncorrected: -0.672 eV/atom
* calculated total energy: -6.22 eV/atom